Crystalline LaSm6Tm at its relaxed geometry, computed with GGA-PBE.

Cell and atoms, written as POSCAR:
```
LaSm6Tm
1.0
5.1281 0.0000 0.0000
0.0000 5.1281 0.0000
0.0000 0.0000 10.2592
La Sm Tm
1 6 1
Direct
0.0000 0.0000 0.0000
0.0000 0.5000 0.2548
0.0000 0.5000 0.7452
0.5000 0.0000 0.2548
0.5000 0.0000 0.7452
0.5000 0.5000 0.0000
0.5000 0.5000 0.5000
0.0000 0.0000 0.5000
```

Theoretical density ... 7.4 Mg/m³
E above lowest polymorph ... 0 meV per atom
Space group ... P4/mmm, No. 123
Formation energy ... 0.024 eV per atom
E_tot ... -4.69 eV per atom

Crystalline NdNi9C2 at its relaxed geometry, computed with GGA-PBE.

Cell and atoms, written as POSCAR:
```
NdNi9C2
1.0
6.7401 0.0000 0.0000
-3.3701 5.8371 0.0000
0.0000 0.0000 3.4704
Nd Ni C
1 9 2
Direct
0.0000 0.0000 0.0000
0.0000 0.5000 0.0000
0.2125 0.4250 0.5000
0.2125 0.7875 0.5000
0.4250 0.2125 0.5000
0.5000 0.0000 0.0000
0.5000 0.5000 0.0000
0.5750 0.7875 0.5000
0.7875 0.2125 0.5000
0.7875 0.5750 0.5000
0.3333 0.6667 0.0000
0.6667 0.3333 0.0000
```

Theoretical density ... 8.5 Mg/m³
Space group ... P6/mmm, No. 191
Formation energy ... 0.049 eV per atom
E_tot ... -6.22 eV per atom

Crystalline BP4 at its relaxed geometry, computed with GGA-PBE.

Cell and atoms, written as POSCAR:
```
BP4
1.0
4.0964 0.0000 0.0000
0.0000 4.0964 0.0000
0.0000 0.0000 4.0964
B P
1 4
Direct
0.0000 0.0000 0.0000
0.0000 0.0000 0.5000
0.0000 0.5000 0.0000
0.5000 0.0000 0.0000
0.5000 0.5000 0.5000
```

Theoretical density ... 3.3 Mg/m³
Space group ... Pm-3m, No. 221
Formation energy ... 0.954 eV per atom
E_tot ... -4.71 eV per atom

Crystalline Zr2CdHg at its relaxed geometry, computed with GGA-PBE.

Cell and atoms, written as POSCAR:
```
Zr2CdHg
1.0
4.4497 0.0000 0.0000
0.0000 4.4497 0.0000
0.0000 0.0000 4.3565
Zr Cd Hg
2 1 1
Direct
0.0000 0.5000 0.0000
0.5000 0.0000 0.0000
0.0000 0.0000 0.5000
0.5000 0.5000 0.5000
```

Theoretical density ... 9.5 Mg/m³
E above lowest polymorph ... 2 meV per atom
Space group ... P4/mmm, No. 123
Formation energy ... -0.146 eV per atom
E_tot ... -4.72 eV per atom

Crystalline Ag2H2O3 at its relaxed geometry, computed with GGA-PBE.

Cell and atoms, written as POSCAR:
```
Ag2H2O3
1.0
3.5941 0.0000 0.0000
0.8594 4.1831 0.0000
1.2679 1.1966 5.1053
Ag H O
2 2 3
Direct
0.1807 0.1591 0.1958
0.8193 0.8409 0.8042
0.1802 0.2853 0.6770
0.8198 0.7147 0.3230
0.0573 0.6786 0.1842
0.5000 0.0000 0.5000
0.9427 0.3214 0.8158
```

Theoretical density ... 5.7 Mg/m³
Space group ... P-1, No. 2
E_tot ... -4.21 eV per atom

Crystalline TiNbHRh2 at its relaxed geometry, computed with GGA-PBE.

Cell and atoms, written as POSCAR:
```
TiNbHRh2
1.0
3.9910 0.0000 0.0000
0.0000 3.9910 0.0000
0.0000 0.0000 3.9998
Ti Nb H Rh
1 1 1 2
Direct
0.0000 0.0000 0.0000
0.5000 0.5000 0.0000
0.0000 0.0000 0.5000
0.0000 0.5000 0.5000
0.5000 0.0000 0.5000
```

Theoretical density ... 9.1 Mg/m³
E above lowest polymorph ... 0 meV per atom
Space group ... P4/mmm, No. 123
E_tot ... -7.63 eV per atom

Crystalline Ba2Sr3AcTe6 at its relaxed geometry, computed with GGA-PBE.

Cell and atoms, written as POSCAR:
```
Ba2Sr3AcTe6
1.0
10.5028 -2.4076 0.0000
10.5028 2.4076 0.0000
-2.1967 0.0000 9.4160
Ba Sr Ac Te
2 3 1 6
Direct
0.1668 0.1668 0.3348
0.8332 0.8332 0.6652
0.1680 0.1680 0.8335
0.5000 0.5000 0.5000
0.8320 0.8320 0.1665
0.5000 0.5000 0.0000
0.0035 0.0035 0.7540
0.3350 0.3350 0.9272
0.3372 0.3372 0.4078
0.6628 0.6628 0.5922
0.6650 0.6650 0.0728
0.9965 0.9965 0.2460
```

Theoretical density ... 5.3 Mg/m³
Space group ... C2/m, No. 12
ΔE_f (raw) ... -1703 meV/atom
E_tot ... -4.36 eV per atom

Crystalline CsAc2Co at its relaxed geometry, computed with GGA-PBE.

Cell and atoms, written as POSCAR:
```
CsAc2Co
1.0
4.2973 0.0000 0.0000
-2.1487 3.7216 0.0000
0.0000 0.0000 35.2881
Cs Ac Co
3 6 3
Direct
0.0000 0.0000 0.0000
0.3333 0.6667 0.6667
0.6667 0.3333 0.3333
0.0000 0.0000 0.1238
0.0000 0.0000 0.8762
0.3333 0.6667 0.5429
0.3333 0.6667 0.7905
0.6667 0.3333 0.2095
0.6667 0.3333 0.4571
0.0000 0.0000 0.5000
0.3333 0.6667 0.1667
0.6667 0.3333 0.8333
```

Theoretical density ... 5.7 Mg/m³
Space group ... R-3m, No. 166
Formation energy ... 0.089 eV per atom
E_tot ... -3.96 eV per atom

Crystalline CeEr2Rh4 at its relaxed geometry, computed with GGA-PBE.

Cell and atoms, written as POSCAR:
```
CeEr2Rh4
1.0
2.3566 1.3606 7.5941
-2.3566 1.3606 7.5941
0.0000 -2.7211 7.5941
Ce Er Rh
1 2 4
Direct
0.0000 0.0000 0.0000
0.2363 0.2363 0.2363
0.7637 0.7637 0.7637
0.1154 0.1154 0.1154
0.3740 0.3740 0.3740
0.6260 0.6260 0.6260
0.8846 0.8846 0.8846
```

Theoretical density ... 10.1 Mg/m³
Space group ... R-3m, No. 166
Formation energy ... -0.587 eV per atom
E_tot ... -6.94 eV per atom

Crystalline PmTh2P at its relaxed geometry, computed with GGA-PBE.

Cell and atoms, written as POSCAR:
```
PmTh2P
1.0
3.8648 0.0000 0.0000
-1.9324 3.3470 0.0000
0.0000 0.0000 28.6029
Pm Th P
3 6 3
Direct
0.0000 0.0000 0.0000
0.3333 0.6667 0.6667
0.6667 0.3333 0.3333
0.0000 0.0000 0.2294
0.0000 0.0000 0.4385
0.3333 0.6667 0.1052
0.3333 0.6667 0.8961
0.6667 0.3333 0.5627
0.6667 0.3333 0.7719
0.0000 0.0000 0.8336
0.3333 0.6667 0.5002
0.6667 0.3333 0.1669
```

Theoretical density ... 8.6 Mg/m³
Space group ... R3m, No. 160
Formation energy ... -0.568 eV per atom
E_tot ... -6.82 eV per atom

Crystalline Tb2Cu5Pt4 at its relaxed geometry, computed with GGA-PBE.

Cell and atoms, written as POSCAR:
```
Tb2Cu5Pt4
1.0
0.0000 4.4194 8.4634
2.5722 0.0000 8.4634
2.5722 4.4194 0.0000
Tb Cu Pt
2 5 4
Direct
0.1375 0.1375 0.8625
0.8625 0.8625 0.1375
0.0000 0.0000 0.5000
0.2500 0.2500 0.2500
0.5000 0.5000 0.0000
0.5000 0.5000 0.5000
0.7500 0.7500 0.7500
0.2093 0.5373 0.4627
0.4627 0.7907 0.2093
0.5373 0.2093 0.7907
0.7907 0.4627 0.5373
```

Theoretical density ... 12.2 Mg/m³
Space group ... Fmmm, No. 69
Formation energy ... -0.515 eV per atom
E_tot ... -5.42 eV per atom

Crystalline BeMo2Br at its relaxed geometry, computed with GGA-PBE.

Cell and atoms, written as POSCAR:
```
BeMo2Br
1.0
4.4740 0.0000 0.0000
0.0000 4.4740 0.0000
0.0000 0.0000 2.9119
Be Mo Br
1 2 1
Direct
0.0000 0.0000 0.0000
0.0000 0.5000 0.5000
0.5000 0.0000 0.5000
0.5000 0.5000 0.0000
```

Theoretical density ... 8.0 Mg/m³
E above lowest polymorph ... 552 meV per atom
Space group ... P4/mmm, No. 123
ΔE_f (raw) ... 866 meV/atom
E_tot ... -5.90 eV per atom